{
  "formula": "MnTe6Pd3",
  "functional": "PBE",
  "state": "optimized geometry",
  "sg": "P-1",
  "n_ef_per_ev_cell": 3.1,
  "total_energy_ev_per_atom": -4.58,
  "lattice_angstrom": [[6.3125, 0.0000, 0.0000], [0.1802, 6.5706, 0.0000], [1.8703, 1.4367, 6.3523]],
  "species": ["Mn", "Te", "Te", "Te", "Te", "Te", "Te", "Pd", "Pd", "Pd"],
  "fractional_positions": [[0.0000, 0.0000, 0.0000], [0.0923, 0.8423, 0.6329], [0.2401, 0.6637, 0.1038], [0.3304, 0.2718, 0.7319], [0.6696, 0.7282, 0.2681], [0.7599, 0.3363, 0.8962], [0.9077, 0.1577, 0.3671], [0.0000, 0.5000, 0.5000], [0.5000, 0.0000, 0.0000], [0.5000, 0.0000, 0.5000]]
}



{
  "formula": "SmUSb2",
  "functional": "PBE",
  "state": "optimized geometry",
  "sg": "Fm-3m",
  "n_ef_per_ev_cell": 5.5,
  "polymorph_energy_mev_per_atom": 202,
  "lattice_angstrom": [[0.0000, 3.7914, 3.7914], [3.7914, 0.0000, 3.7914], [3.7914, 3.7914, 0.0000]],
  "species": ["Sm", "U", "Sb", "Sb"],
  "fractional_positions": [[0.0000, 0.0000, 0.0000], [0.5000, 0.5000, 0.5000], [0.2500, 0.2500, 0.2500], [0.7500, 0.7500, 0.7500]]
}



{
  "formula": "KHo4",
  "functional": "PBE",
  "state": "optimized geometry",
  "ef_ev_per_atom": 1.069,
  "sg": "Pm-3m",
  "n_ef_per_ev_cell": 4.7,
  "lattice_angstrom": [[5.4981, 0.0000, 0.0000], [0.0000, 5.4981, 0.0000], [0.0000, 0.0000, 5.4981]],
  "species": ["K", "Ho", "Ho", "Ho", "Ho"],
  "fractional_positions": [[0.0000, 0.0000, 0.0000], [0.0000, 0.0000, 0.5000], [0.0000, 0.5000, 0.0000], [0.5000, 0.0000, 0.0000], [0.5000, 0.5000, 0.5000]]
}



{
  "formula": "Fe2SnP",
  "functional": "PBE",
  "state": "optimized geometry",
  "ef_ev_per_atom": 0.287,
  "sg": "Fm-3m",
  "n_ef_per_ev_cell": 4.4,
  "polymorph_energy_mev_per_atom": 115,
  "lattice_angstrom": [[0.0000, 3.0055, 3.0055], [3.0055, 0.0000, 3.0055], [3.0055, 3.0055, 0.0000]],
  "species": ["Fe", "Fe", "Sn", "P"],
  "fractional_positions": [[0.2500, 0.2500, 0.2500], [0.7500, 0.7500, 0.7500], [0.0000, 0.0000, 0.0000], [0.5000, 0.5000, 0.5000]]
}



{
  "formula": "Sn2SbPb2",
  "functional": "PBE",
  "state": "optimized geometry",
  "sg": "P4/mbm",
  "n_ef_per_ev_cell": 5.7,
  "polymorph_energy_mev_per_atom": 34,
  "lattice_angstrom": [[8.0850, 0.0000, 0.0000], [0.0000, 8.0850, 0.0000], [0.0000, 0.0000, 4.7326]],
  "species": ["Sn", "Sn", "Sn", "Sn", "Sb", "Sb", "Pb", "Pb", "Pb", "Pb"],
  "fractional_positions": [[0.1317, 0.3683, 0.0000], [0.3683, 0.8683, 0.0000], [0.6317, 0.1317, 0.0000], [0.8683, 0.6317, 0.0000], [0.0000, 0.0000, 0.0000], [0.5000, 0.5000, 0.0000], [0.1798, 0.6798, 0.5000], [0.3202, 0.1798, 0.5000], [0.6798, 0.8202, 0.5000], [0.8202, 0.3202, 0.5000]]
}



{
  "formula": "Sr2CeCdAu6",
  "functional": "PBE",
  "state": "optimized geometry",
  "ef_ev_per_atom": -0.165,
  "sg": "Fm-3m",
  "n_ef_per_ev_cell": 8.8,
  "lattice_angstrom": [[0.0000, 5.4351, 5.4351], [5.4351, 0.0000, 5.4351], [5.4351, 5.4351, 0.0000]],
  "species": ["Sr", "Sr", "Ce", "Cd", "Au", "Au", "Au", "Au", "Au", "Au"],
  "fractional_positions": [[0.2500, 0.2500, 0.2500], [0.7500, 0.7500, 0.7500], [0.0000, 0.0000, 0.0000], [0.5000, 0.5000, 0.5000], [0.2547, 0.2547, 0.7453], [0.2547, 0.7453, 0.2547], [0.2547, 0.7453, 0.7453], [0.7453, 0.2547, 0.2547], [0.7453, 0.2547, 0.7453], [0.7453, 0.7453, 0.2547]]
}



{
  "formula": "KHgBr2",
  "functional": "PBE",
  "state": "optimized geometry",
  "sg": "Pm",
  "n_ef_per_ev_cell": 0.2,
  "polymorph_energy_mev_per_atom": 0,
  "lattice_angstrom": [[4.2783, 0.0000, 0.0000], [0.0000, 5.4381, 0.0000], [-2.0648, 0.0000, 6.1589]],
  "species": ["K", "Hg", "Br", "Br"],
  "fractional_positions": [[0.0000, 0.0000, 0.0000], [0.2573, 0.5000, 0.5044], [0.2785, 0.0000, 0.5520], [0.5551, 0.5000, 0.0976]]
}



{
  "formula": "LiEu3Ni",
  "functional": "PBE",
  "state": "optimized geometry",
  "ef_ev_per_atom": 0.003,
  "sg": "Pm-3m",
  "n_ef_per_ev_cell": 29.9,
  "lattice_angstrom": [[5.6048, 0.0000, 0.0000], [0.0000, 5.6048, 0.0000], [0.0000, 0.0000, 5.6048]],
  "species": ["Li", "Eu", "Eu", "Eu", "Ni"],
  "fractional_positions": [[0.0000, 0.0000, 0.0000], [0.0000, 0.5000, 0.5000], [0.5000, 0.0000, 0.5000], [0.5000, 0.5000, 0.0000], [0.5000, 0.5000, 0.5000]]
}



{
  "formula": "HoTiIrRu",
  "functional": "PBE",
  "state": "optimized geometry",
  "ef_ev_per_atom": -0.615,
  "sg": "F-43m",
  "n_ef_per_ev_cell": 2.1,
  "lattice_angstrom": [[0.0000, 3.2478, 3.2478], [3.2478, 0.0000, 3.2478], [3.2478, 3.2478, 0.0000]],
  "species": ["Ho", "Ti", "Ir", "Ru"],
  "fractional_positions": [[0.0000, 0.0000, 0.0000], [0.5000, 0.5000, 0.5000], [0.2500, 0.2500, 0.2500], [0.7500, 0.7500, 0.7500]]
}



{
  "formula": "La3Ge2H",
  "functional": "PBE",
  "state": "optimized geometry",
  "sg": "Immm",
  "n_ef_per_ev_cell": 2.1,
  "polymorph_energy_mev_per_atom": 111,
  "lattice_angstrom": [[-2.0744, 2.3643, 8.4133], [2.0744, -2.3643, 8.4133], [2.0744, 2.3643, -8.4133]],
  "species": ["La", "La", "La", "Ge", "Ge", "H"],
  "fractional_positions": [[0.0000, 0.0000, 0.0000], [0.3308, 0.8308, 0.5000], [0.6692, 0.1692, 0.5000], [0.1444, 0.6444, 0.5000], [0.8556, 0.3556, 0.5000], [0.5000, 0.0000, 0.5000]]
}